Computed, not measured: crystalline BiPd12Pb3 at its relaxed geometry at the PBE level of DFT.

Values from the calculation:
As for the formation enthalpy at 0 K: -0.2813 eV/atom. The total magnetization comes out at 0.00 μB/f.u. The final energy comes out at -5.114 eV/atom. The space-group type is P4/mmm, No. 123.

Cell lengths 4.1193, 4.1193, 16.4344 Å; angles 90.00, 90.00, 90.00 degrees
With the nearest neighbours (Å) after each atom.
Atoms (fractional coordinates):
Bi 0.0000 0.0000 0.0000  12 Pd 2.91-2.92
Pd 0.5000 0.0000 0.6248  4 Pb 2.89-2.91, 8 Pd 2.91
Pd 0.5000 0.0000 0.3752  4 Pb 2.89-2.91, 8 Pd 2.91
Pd 0.5000 0.5000 0.2497  8 Pd 2.90-2.91, 4 Pb 2.91
Pd 0.5000 0.5000 0.7503  8 Pd 2.90-2.91, 4 Pb 2.91
Pd 0.5000 0.5000 0.5000  8 Pd 2.91, 4 Pb 2.91
Pd 0.5000 0.0000 0.8741  8 Pd 2.90-2.92, 2 Bi 2.92, 2 Pb 2.92
Pd 0.0000 0.5000 0.3752  4 Pb 2.89-2.91, 8 Pd 2.91
Pd 0.0000 0.5000 0.1259  8 Pd 2.90-2.92, 2 Bi 2.92, 2 Pb 2.92
Pd 0.0000 0.5000 0.8741  8 Pd 2.90-2.92, 2 Bi 2.92, 2 Pb 2.92
Pd 0.5000 0.0000 0.1259  8 Pd 2.90-2.92, 2 Bi 2.92, 2 Pb 2.92
Pd 0.5000 0.5000 0.0000  4 Bi 2.91, 8 Pd 2.92
Pd 0.0000 0.5000 0.6248  4 Pb 2.89-2.91, 8 Pd 2.91
Pb 0.0000 0.0000 0.5000  12 Pd 2.91
Pb 0.0000 0.0000 0.2518  12 Pd 2.89-2.92
Pb 0.0000 0.0000 0.7482  12 Pd 2.89-2.92

***

Computed, not measured: crystalline KPr3Y2Te6 at its relaxed geometry at the PBE level of DFT.

Values from the calculation:
The total magnetization comes out at 0.00 μB/f.u. The final energy comes out at -5.304 eV/atom. The space-group type is C2/m, No. 12.

Cell lengths 4.4751, 9.1489, 10.1199 Å; angles 103.23, 102.77, 90.00 degrees
With the nearest neighbours (Å) after each atom.
Atoms (fractional coordinates):
K 0.5000 0.0000 0.0000  6 Te 3.24-3.33
Te 0.0072 0.2594 0.0144  1 Y 3.05, 3 Pr 3.17, 2 K 3.24
Te 0.6736 0.0937 0.3473  2 Y 3.20, 3 Pr 3.23-3.33, 1 K 3.33
Te 0.9928 0.7406 0.9856  1 Y 3.05, 3 Pr 3.17, 2 K 3.24
Te 0.6698 0.5751 0.3396  3 Y 3.09-3.15, 3 Pr 3.20-3.26
Te 0.3264 0.9063 0.6527  2 Y 3.20, 3 Pr 3.23-3.33, 1 K 3.33
Te 0.3302 0.4249 0.6604  3 Y 3.09-3.15, 3 Pr 3.20-3.26
Pr 0.8419 0.1820 0.6838  6 Te 3.17-3.33
Pr 0.5000 0.5000 0.0000  6 Te 3.17-3.26
Pr 0.1581 0.8180 0.3162  6 Te 3.17-3.33
Y 0.8337 0.6601 0.6675  6 Te 3.05-3.20
Y 0.1663 0.3399 0.3325  6 Te 3.05-3.20

***

Computed, not measured: crystalline TcSbF2 at its relaxed geometry at the PBE level of DFT.

Values from the calculation:
The excess energy over the best structure of this formula in the dataset comes out at 0 meV per atom. The total magnetization comes out at 2.23 μB/f.u. The final energy comes out at -5.269 eV/atom. The space-group type is I-42d, No. 122.

Cell lengths 3.9026, 3.9026, 8.5498 Å; angles 76.81, 76.81, 90.00 degrees
With the nearest neighbours (Å) after each atom.
Atoms (fractional coordinates):
F 0.6050 0.1250 0.2500  2 Tc 2.42, 2 Sb 2.48, 2 F 2.65
F 0.3750 0.3950 0.7500  2 Tc 2.42, 2 Sb 2.48, 2 F 2.65
F 0.1450 0.6250 0.2500  2 Tc 2.42, 2 Sb 2.48, 2 F 2.65
F 0.8750 0.8550 0.7500  2 Tc 2.42, 2 Sb 2.48, 2 F 2.65
Tc 0.2500 0.7500 0.5000  4 F 2.42
Tc 0.5000 0.5000 0.0000  4 F 2.42
Sb 0.7500 0.2500 0.5000  4 F 2.48, 4 Tc 2.76
Sb 0.0000 0.0000 0.0000  4 F 2.48, 4 Tc 2.76